An optimized crystal structure of CoPO3, computed with GGA+U.

Lattice parameters (Å, degrees): 3.531 3.531 3.531 90.00 90.00 90.00
Atoms (fractional coordinates):
Co (0.000, 0.000, 0.000)
P (0.500, 0.500, 0.500)
O (0.000, 0.500, 0.500)
O (0.500, 0.000, 0.500)
O (0.500, 0.500, 0.000)

Results
Space group ... Pm-3m
Fermi-level density of states ... 4.254 states/eV/cell
Energy ... -29.04 eV per cell